Record 1
First-principles (PBE) data for a geometry-optimized Ho2Be4CuIr3 structure, as listed in Alexandria.

- Final energy: -60.52 eV for the cell shown
- ΔH_f (0 K): -0.58 eV/atom

abc: 3.8908 3.8908 9.5983
angles: 90.00 90.00 90.00
Closest atoms and distances in Å follow each position.
Space group P-4m2 (No. 115)
Unique sites:
Ho1 0.0000 0.5000 0.2470 (multiplicity 2)  6 Ir 2.97-3.11, 8 Be 3.00-3.07, 2 Cu 3.11
Be1 0.0000 0.0000 0.0000 (multiplicity 1)  4 Ir 2.31
Be2 0.0000 0.5000 0.6278 (multiplicity 2)  3 Ir 2.30-2.33, 2 Cu 2.30
Be3 0.5000 0.5000 0.0000 (multiplicity 1)  4 Ir 2.31
Cu1 0.0000 0.0000 0.5000 (multiplicity 1)  4 Be 2.30
Ir1 0.0000 0.5000 0.8707 (multiplicity 2)  5 Be 2.31-2.33
Ir2 0.5000 0.5000 0.5000 (multiplicity 1)  4 Be 2.30


Record 2
First-principles (PBE) data for a geometry-optimized ScTc2BiMo structure, as listed in Alexandria.

- Final energy: -36.16 eV for the cell shown
- ΔH_f (0 K): 1.12 eV/atom

abc: 4.7002 4.7002 5.2623
angles: 90.00 90.00 90.00
Closest atoms and distances in Å follow each position.
Space group P4/mmm (No. 123)
Unique sites:
Sc1 0.0000 0.0000 0.0000 (multiplicity 1)  4 Bi 3.32, 8 Tc 3.53
Tc1 0.0000 0.5000 0.5000 (multiplicity 2)  2 Mo 2.35
Bi1 0.5000 0.5000 0.0000 (multiplicity 1)  2 Mo 2.63
Mo1 0.5000 0.5000 0.5000 (multiplicity 1)  4 Tc 2.35, 2 Bi 2.63


Record 3
First-principles (PBE) data for a geometry-optimized CuTe2AsN structure, as listed in Alexandria.

- Final energy: -19.19 eV for the cell shown
- ΔE_f (raw): 0.8326 eV/atom
- E above lowest polymorph: 0 meV/atom

abc: 5.3478 5.3478 3.5937
angles: 90.00 90.00 90.00
Closest atoms and distances in Å follow each position.
Space group P4/mmm (No. 123)
Unique sites:
Cu1 0.0000 0.0000 0.0000 (multiplicity 1)  2 N 1.80
Te1 0.0000 0.5000 0.0000 (multiplicity 2)  2 Cu 2.67
As1 0.5000 0.5000 0.5000 (multiplicity 1)  8 Te 3.22, 2 As 3.59
N1 0.0000 0.0000 0.5000 (multiplicity 1)  2 Cu 1.80


Record 4
First-principles (PBE) data for a geometry-optimized ZrTi4Al2 structure, as listed in Alexandria.

- Final energy: -194.18 eV for the cell shown
- ΔH_f (0 K): -0.13 eV/atom

abc: 5.2041 9.7695 9.9110
angles: 90.00 90.00 90.00
Closest atoms and distances in Å follow each position.
Space group Fmmm (No. 69)
Unique sites:
Zr1 0.0000 0.0000 0.0000 (multiplicity 4)  6 Al 2.99-3.26, 6 Ti 3.00-3.21
Ti1 0.0000 0.1928 0.5000 (multiplicity 8)  2 Al 2.72, 6 Ti 2.83-2.85, 1 Zr 3.00
Ti2 0.2500 0.2500 0.2500 (multiplicity 8)  6 Ti 2.60-2.85, 4 Al 2.82
Al1 0.0000 0.0000 0.3021 (multiplicity 8)  6 Ti 2.72-2.82, 2 Al 2.80, 1 Zr 2.99


Record 5
First-principles (PBE) data for a geometry-optimized TiMnGePd2 structure, as listed in Alexandria.

- Final energy: -29.03 eV for the cell shown
- ΔH_f (0 K): 0.61 eV/atom

abc: 4.7971 4.7971 4.2303
angles: 90.00 90.00 90.00
Closest atoms and distances in Å follow each position.
Space group P4/mmm (No. 123)
Unique sites:
Ti1 0.0000 0.0000 0.0000 (multiplicity 1)  2 Mn 2.12
Mn1 0.0000 0.0000 0.5000 (multiplicity 1)  2 Ti 2.12
Ge1 0.5000 0.5000 0.0000 (multiplicity 1)  8 Pd 3.20, 4 Ti 3.39
Pd1 0.0000 0.5000 0.5000 (multiplicity 2)  2 Mn 2.40


Record 6
First-principles (PBE) data for a geometry-optimized NaSr2I structure, as listed in Alexandria.

- Final energy: -8.17 eV for the cell shown
- ΔE_f (raw): -0.4848 eV/atom
- E above lowest polymorph: 51 meV/atom

abc: 4.1297 4.1297 10.0371
angles: 90.00 90.00 90.00
Closest atoms and distances in Å follow each position.
Space group P4/mmm (No. 123)
Unique sites:
Na1 0.0000 0.0000 0.0000 (multiplicity 1)  8 Sr 3.91, 4 Na 4.13
Sr1 0.5000 0.5000 0.2589 (multiplicity 2)  4 I 3.79, 4 Na 3.91, 4 Sr 4.13
I1 0.0000 0.0000 0.5000 (multiplicity 1)  8 Sr 3.79, 4 I 4.13


Record 7
First-principles (PBE) data for a geometry-optimized LaIn2GaNi structure, as listed in Alexandria.

- Final energy: -20.74 eV for the cell shown
- ΔH_f (0 K): -0.30 eV/atom

abc: 4.9794 4.9794 4.7024
angles: 90.00 90.00 90.00
Closest atoms and distances in Å follow each position.
Space group P4/mmm (No. 123)
Unique sites:
La1 0.0000 0.0000 0.0000 (multiplicity 1)  8 In 3.42, 4 Ga 3.52
In1 0.0000 0.5000 0.5000 (multiplicity 2)  2 Ni 2.49
Ga1 0.5000 0.5000 0.0000 (multiplicity 1)  2 Ni 2.35
Ni1 0.5000 0.5000 0.5000 (multiplicity 1)  2 Ga 2.35, 4 In 2.49


Record 8
First-principles (PBE) data for a geometry-optimized VZnPd5 structure, as listed in Alexandria.

- Final energy: -38.11 eV for the cell shown
- ΔH_f (0 K): -0.25 eV/atom
- E above lowest polymorph: 0 meV/atom

abc: 3.9500 3.9500 6.9978
angles: 90.00 90.00 90.00
Closest atoms and distances in Å follow each position.
Space group P4/mmm (No. 123)
Unique sites:
V1 0.0000 0.0000 0.0000 (multiplicity 1)  12 Pd 2.72-2.79
Zn1 0.5000 0.5000 0.5000 (multiplicity 1)  8 Pd 2.56
Pd1 0.0000 0.5000 0.2666 (multiplicity 4)  2 Zn 2.56, 2 V 2.72, 6 Pd 2.72-2.79
Pd2 0.5000 0.5000 0.0000 (multiplicity 1)  8 Pd 2.72, 4 V 2.79


Record 9
First-principles (PBE) data for a geometry-optimized CsUMn2Se4 structure, as listed in Alexandria.

- Final energy: -95.60 eV for the cell shown
- ΔE_f (raw): -0.4227 eV/atom

abc: 5.5730 9.5752 10.4027
angles: 90.00 90.00 90.00
Closest atoms and distances in Å follow each position.
Space group I222 (No. 23)
Unique sites:
Cs1 0.0000 0.0000 0.0000 (multiplicity 2)  8 Se 3.90-4.02
U1 0.0000 0.0000 0.5000 (multiplicity 2)  4 Se 2.75, 4 Mn 2.95
Mn1 0.0000 0.5000 0.0928 (multiplicity 4)  1 Mn 1.93
Se1 0.2386 0.1701 0.3299 (multiplicity 8)  1 Mn 2.33


> Which value of final energy does entry 4 give?

-194.18 eV for the cell shown


Repeat the seventh record exactly.
First-principles (PBE) data for a geometry-optimized LaIn2GaNi structure, as listed in Alexandria.

- Final energy: -20.74 eV for the cell shown
- ΔH_f (0 K): -0.30 eV/atom

abc: 4.9794 4.9794 4.7024
angles: 90.00 90.00 90.00
Closest atoms and distances in Å follow each position.
Space group P4/mmm (No. 123)
Unique sites:
La1 0.0000 0.0000 0.0000 (multiplicity 1)  8 In 3.42, 4 Ga 3.52
In1 0.0000 0.5000 0.5000 (multiplicity 2)  2 Ni 2.49
Ga1 0.5000 0.5000 0.0000 (multiplicity 1)  2 Ni 2.35
Ni1 0.5000 0.5000 0.5000 (multiplicity 1)  2 Ga 2.35, 4 In 2.49


> Among the records above, which one has the highest final energy?

NaSr2I


> Which value of final energy does entry 9 give?

-95.60 eV for the cell shown